Compound: RbVNF2
Source: Alexandria via LeMat-Bulk
Functional: PBE with a Hubbard U
Structure: relaxed

Structure (CIF):
```
data_RbVNF2
_chemical_formula_sum 'Rb1 V1 N1 F2'
_cell_length_a 4.317
_cell_length_b 4.317
_cell_length_c 3.825
_cell_angle_alpha 90.00
_cell_angle_beta 90.00
_cell_angle_gamma 90.00
_space_group_name_H-M_alt 'P 4/m m m'
_space_group_IT_number 123
_space_group_name_Hall '-P 4 2'
loop_
_atom_site_label
_atom_site_type_symbol
_atom_site_fract_x
_atom_site_fract_y
_atom_site_fract_z
_atom_site_occupancy
Rb1 Rb 0.000 0.000 0.000 1
V1 V 0.500 0.500 0.500 1
N1 N 0.500 0.500 0.000 1
F1 F 0.000 0.500 0.500 1
```

Computed properties:
* excess energy over the best structure of this formula in the dataset: 0.0 meV/atom
* calculated volume: 71.3 Å³ per cell
* final energy: -28.66 eV for the cell shown
* crystal system: tetragonal
* N(E_F): 1.0 states/eV/cell
* mass density: 4.4 g cm⁻³